Entry 1:
A relaxed Cs2CdHgAu crystal. Source: the Alexandria database, functional PBE.

Cell lengths 6.8906, 6.8906, 5.4414 Å; angles 90.00, 90.00, 90.00 degrees
Last column: nearest neighbours and their distance in Å.
Space group P4/mmm (No. 123)
Asymmetric unit:
Cs 0.0000 0.5000 0.0000 (multiplicity 2)  2 Au 3.45
Cd 0.0000 0.0000 0.5000 (multiplicity 1)  8 Cs 4.39, 4 Hg 4.87
Hg 0.5000 0.5000 0.5000 (multiplicity 1)  2 Au 2.72
Au 0.5000 0.5000 0.0000 (multiplicity 1)  2 Hg 2.72

Output
The excess energy over the best structure of this formula in the dataset comes out at 104 meV per atom. The calculation puts the magnetic moment at 0.00 μB per formula unit. The formation energy is -0.1158 eV/atom. The value obtained for the calculated volume is 258.36 Å³/f.u. As for the density of states at the Fermi level: 3.24 states/eV/f.u. The energy comes out at -1.356 eV/atom.

---

Entry 2:
A relaxed CsCdHgAu2 crystal. Source: the Alexandria database, functional PBE.

Cell lengths 5.5106, 5.5106, 5.6112 Å; angles 90.00, 90.00, 90.00 degrees
Last column: nearest neighbours and their distance in Å.
Space group P4/mmm (No. 123)
Asymmetric unit:
Cs 0.0000 0.0000 0.0000 (multiplicity 1)  4 Hg 3.90, 8 Au 3.93
Cd 0.5000 0.5000 0.5000 (multiplicity 1)  4 Au 2.76, 2 Hg 2.81
Hg 0.5000 0.5000 0.0000 (multiplicity 1)  2 Cd 2.81
Au 0.0000 0.5000 0.5000 (multiplicity 2)  2 Cd 2.76

Output
The excess energy over the best structure of this formula in the dataset comes out at 112 meV per atom. The calculation puts the magnetic moment at 0.00 μB per formula unit. The formation energy is -0.0913 eV/atom. The value obtained for the calculated volume is 170.39 Å³/f.u. As for the density of states at the Fermi level: 1.58 states/eV/f.u. The energy comes out at -1.816 eV/atom.

---

Entry 3:
A relaxed Cs3Cd4Hg2Au2 crystal. Source: the Alexandria database, functional PBE.

Cell lengths 5.4046, 5.4046, 31.2295 Å; angles 90.00, 90.00, 90.00 degrees
Last column: nearest neighbours and their distance in Å.
Space group I4/mmm (No. 139)
Asymmetric unit:
Cs 0.0000 0.0000 0.0000 (multiplicity 2)  8 Cd 3.98
Cs 0.0000 0.0000 0.1932 (multiplicity 4)  5 Hg 3.84-3.91, 4 Cd 4.12
Cd 0.0000 0.5000 0.0937 (multiplicity 8)  2 Au 2.71
Hg 0.0000 0.0000 0.3183 (multiplicity 4)  1 Au 2.91
Au 0.0000 0.0000 0.4114 (multiplicity 4)  4 Cd 2.71, 1 Hg 2.91

Output
The calculation puts the magnetic moment at 0.00 μB per formula unit. The formation energy is -0.1297 eV/atom. The value obtained for the calculated volume is 456.10 Å³/f.u. As for the density of states at the Fermi level: 6.39 states/eV/f.u. The energy comes out at -1.346 eV/atom.

---

> What is the energy in the second record?

-1.816 eV/atom